SrLaInPt: optimized geometry, GGA-PBE.

magnetic moment = 0.000 μB per atom
energy of formation from the pure elements = -0.577 eV/atom

Lattice parameters (Å, degrees): 7.6544 7.6544 7.6544 90.00 90.00 90.00
Last column: nearest neighbours and their distance in Å.
Space group F-43m (No. 216)
Symmetry-distinct sites (fractional):
Sr (0.0000, 0.0000, 0.0000)  4 In 3.31, 4 Pt 3.31
La (0.0000, 0.0000, 0.5000)  4 In 3.31, 4 Pt 3.31
In (0.2500, 0.2500, 0.2500)  4 La 3.31, 4 Sr 3.31
Pt (0.2500, 0.2500, 0.7500)  4 La 3.31, 4 Sr 3.31

=====

SrLa2InPt: optimized geometry, GGA-PBE.

magnetic moment = 0.000 μB per atom
energy of formation from the pure elements = 0.154 eV/atom

Lattice parameters (Å, degrees): 6.0599 6.0599 5.0732 90.00 90.00 90.00
Last column: nearest neighbours and their distance in Å.
Space group P4/mmm (No. 123)
Symmetry-distinct sites (fractional):
Sr (0.0000, 0.0000, 0.0000)  8 La 3.95, 4 Pt 4.28
La (0.0000, 0.5000, 0.5000)  2 In 3.03
In (0.5000, 0.5000, 0.5000)  2 Pt 2.54
Pt (0.5000, 0.5000, 0.0000)  2 In 2.54

=====

LaTbInPt: optimized geometry, GGA-PBE.

magnetic moment = 0.000 μB per atom
energy of formation from the pure elements = -0.681 eV/atom

Lattice parameters (Å, degrees): 7.4666 7.4666 7.4666 90.00 90.00 90.00
Last column: nearest neighbours and their distance in Å.
Space group F-43m (No. 216)
Symmetry-distinct sites (fractional):
La (0.0000, 0.0000, 0.0000)  4 Pt 3.23, 4 In 3.23
Tb (0.0000, 0.0000, 0.5000)  4 In 3.23, 4 Pt 3.23
In (0.2500, 0.2500, 0.7500)  4 Tb 3.23, 4 La 3.23
Pt (0.2500, 0.2500, 0.2500)  4 Tb 3.23, 4 La 3.23

=====

LaInTc2Pt: optimized geometry, GGA-PBE.

magnetic moment = 0.831 μB per atom
energy of formation from the pure elements = 1.634 eV/atom

Lattice parameters (Å, degrees): 4.9106 4.9106 5.7744 90.00 90.00 90.00
Last column: nearest neighbours and their distance in Å.
Space group P4/mmm (No. 123)
Symmetry-distinct sites (fractional):
La (0.0000, 0.0000, 0.0000)  2 In 2.89
In (0.0000, 0.0000, 0.5000)  4 Tc 2.46
Tc (0.0000, 0.5000, 0.5000)  2 In 2.46
Pt (0.5000, 0.5000, 0.0000)  4 La 3.47, 8 Tc 3.79

=====

LaTlInPt: optimized geometry, GGA-PBE.

magnetic moment = 0.000 μB per atom
energy of formation from the pure elements = -0.531 eV/atom

Lattice parameters (Å, degrees): 7.3111 7.3111 7.3111 90.00 90.00 90.00
Last column: nearest neighbours and their distance in Å.
Space group F-43m (No. 216)
Symmetry-distinct sites (fractional):
La (0.0000, 0.0000, 0.0000)  4 Pt 3.17, 4 Tl 3.17
Tl (0.2500, 0.2500, 0.7500)  4 La 3.17, 4 In 3.17
In (0.0000, 0.0000, 0.5000)  4 Tl 3.17, 4 Pt 3.17
Pt (0.2500, 0.2500, 0.2500)  4 In 3.17, 4 La 3.17

=====

La2Zn2InPt5: optimized geometry, GGA-PBE.

magnetic moment = 0.000 μB per atom
energy of formation from the pure elements = -0.788 eV/atom

Lattice parameters (Å, degrees): 9.9766 9.9766 3.8657 90.00 90.00 90.00
Last column: nearest neighbours and their distance in Å.
Space group P4/mbm (No. 127)
Symmetry-distinct sites (fractional):
La (0.1789, 0.3211, 0.0000)  3 Zn 2.86-3.02, 2 Pt 3.18
Zn (0.1182, 0.6182, 0.0000)  6 Pt 2.55-2.64
In (0.0000, 0.0000, 0.0000)  8 Pt 2.92
Pt (0.0000, 0.5000, 0.5000)  4 Zn 2.55
Pt (0.0632, 0.7894, 0.5000)  2 Zn 2.64, 2 In 2.92

=====

LaZn2InPt5: optimized geometry, GGA-PBE.

magnetic moment = 0.000 μB per atom
energy of formation from the pure elements = -0.428 eV/atom

Lattice parameters (Å, degrees): 4.6895 4.6895 7.6734 90.00 90.00 90.00
Last column: nearest neighbours and their distance in Å.
Space group P4/mmm (No. 123)
Symmetry-distinct sites (fractional):
La (0.0000, 0.0000, 0.0000)  12 Pt 3.06-3.32
Zn (0.5000, 0.5000, 0.3437)  1 Zn 2.40, 5 Pt 2.44-2.64
In (0.0000, 0.0000, 0.5000)  8 Pt 3.00
Pt (0.0000, 0.5000, 0.2561)  2 Zn 2.44
Pt (0.5000, 0.5000, 0.0000)  2 Zn 2.64

=====

LaPuIn2: optimized geometry, GGA-PBE.

magnetic moment = 1.564 μB per atom
energy of formation from the pure elements = -0.300 eV/atom

Lattice parameters (Å, degrees): 4.8826 4.8826 4.7393 90.00 90.00 90.00
Last column: nearest neighbours and their distance in Å.
Space group P4/mmm (No. 123)
Symmetry-distinct sites (fractional):
La (0.0000, 0.0000, 0.0000)  8 In 3.40, 4 Pu 3.45
Pu (0.5000, 0.5000, 0.0000)  8 In 3.40, 4 La 3.45
In (0.0000, 0.5000, 0.5000)  4 Pu 3.40, 4 La 3.40, 4 In 3.45

=====

LaPuIn4: optimized geometry, GGA-PBE.

magnetic moment = 1.062 μB per atom
energy relative to the lowest polymorph listed for this composition = 29.9 meV per atom
energy of formation from the pure elements = -0.292 eV/atom

Lattice parameters (Å, degrees): 8.6310 8.6310 8.6310 90.00 90.00 90.00
Last column: nearest neighbours and their distance in Å.
Space group F-43m (No. 216)
Symmetry-distinct sites (fractional):
La (0.0000, 0.0000, 0.0000)  12 In 3.58, 4 Pu 3.74
Pu (0.2500, 0.2500, 0.2500)  12 In 3.58, 4 La 3.74
In (0.1249, 0.1249, 0.6249)  6 In 3.05

=====

LaPuIn2: optimized geometry, GGA-PBE.

magnetic moment = 1.448 μB per atom
energy of formation from the pure elements = -0.317 eV/atom

Lattice parameters (Å, degrees): 3.3881 3.3881 9.6792 90.00 90.00 90.00
Last column: nearest neighbours and their distance in Å.
Space group P4/mmm (No. 123)
Symmetry-distinct sites (fractional):
La (0.0000, 0.0000, 0.0000)  4 La 3.39, 8 In 3.46
Pu (0.0000, 0.0000, 0.5000)  8 In 3.35, 4 Pu 3.39
In (0.5000, 0.5000, 0.2577)  4 Pu 3.35, 4 In 3.39, 4 La 3.46

=====

La3PuIn12: optimized geometry, GGA-PBE.

magnetic moment = 0.348 μB per atom
energy of formation from the pure elements = -0.416 eV/atom

Lattice parameters (Å, degrees): 4.7558 4.7558 19.0005 90.00 90.00 90.00
Last column: nearest neighbours and their distance in Å.
Space group P4/mmm (No. 123)
Symmetry-distinct sites (fractional):
La (0.0000, 0.0000, 0.0000)  12 In 3.36-3.38
La (0.0000, 0.0000, 0.2531)  12 In 3.36-3.39
Pu (0.0000, 0.0000, 0.5000)  12 In 3.29-3.36
In (0.0000, 0.5000, 0.1266)  8 In 3.36-3.38, 4 La 3.38
In (0.0000, 0.5000, 0.3803)  8 In 3.29-3.40, 2 Pu 3.29, 2 La 3.39
In (0.5000, 0.5000, 0.0000)  4 La 3.36, 8 In 3.38
In (0.5000, 0.5000, 0.2520)  4 La 3.36, 8 In 3.37-3.40
In (0.5000, 0.5000, 0.5000)  8 In 3.29, 4 Pu 3.36

=====

LaPuIn2: optimized geometry, GGA-PBE.

magnetic moment = 1.526 μB per atom
energy of formation from the pure elements = -0.119 eV/atom

Lattice parameters (Å, degrees): 3.4494 3.4494 33.5172 90.00 90.00 120.00
Last column: nearest neighbours and their distance in Å.
Space group R-3m (No. 166, hexagonal axes)
Symmetry-distinct sites (fractional):
La (0.0000, 0.0000, 0.0000)  6 La 3.45, 6 In 3.49
Pu (0.0000, 0.0000, 0.5000)  6 In 3.38, 6 Pu 3.45
In (0.0000, 0.0000, 0.2480)  3 Pu 3.38, 6 In 3.45, 3 La 3.49

=====

Among the records above, which one has the lowest energy of formation from the pure elements? La2Zn2InPt5

=====

Please write out number 4 again, unchanged.
LaInTc2Pt: optimized geometry, GGA-PBE.

magnetic moment = 0.831 μB per atom
energy of formation from the pure elements = 1.634 eV/atom

Lattice parameters (Å, degrees): 4.9106 4.9106 5.7744 90.00 90.00 90.00
Last column: nearest neighbours and their distance in Å.
Space group P4/mmm (No. 123)
Symmetry-distinct sites (fractional):
La (0.0000, 0.0000, 0.0000)  2 In 2.89
In (0.0000, 0.0000, 0.5000)  4 Tc 2.46
Tc (0.0000, 0.5000, 0.5000)  2 In 2.46
Pt (0.5000, 0.5000, 0.0000)  4 La 3.47, 8 Tc 3.79

=====

Among the records above, which one has the highest energy of formation from the pure elements? LaInTc2Pt

=====

Look up the energy of formation from the pure elements of the fourth one. 1.634 eV/atom